An optimized crystal structure of Zr4GaCuC2, computed with PBE.

Values from the calculation:
* size of the total moment: 0.00 μB/atom
* raw total energy: -7.9724 eV/atom
* ρ: 6.5 g/cm3
* symmetry: P-6m2, No. 187

a b c (Å): 3.326 3.326 13.916
angles (deg): 90.00 90.00 120.00
Positions (direct):
Zr  0.000  0.000  0.151
Zr  0.000  0.000  0.849
Zr  0.667  0.333  0.336
Zr  0.667  0.333  0.664
Ga  0.000  0.000  0.500
Cu  0.667  0.333  0.000
C  0.333  0.667  0.246
C  0.333  0.667  0.754